{
  "formula": "CaZn2Cd2",
  "functional": "PBE",
  "state": "optimized geometry",
  "space_group": "I4/mmm, No. 139",
  "polymorph_energy_kj_per_mol_fu": 0,
  "formation_enthalpy_0k_mev_per_atom": -208,
  "magnetic_moment_mub_per_atom": 0.00,
  "lattice": [[4.346, 0.000, 0.000], [0.000, 4.346, 0.000], [2.173, 2.173, 5.946]],
  "species": ["Zn", "Zn", "Cd", "Ca", "Cd"],
  "fractional_positions": [[0.397, 0.397, 0.205], [0.603, 0.603, 0.795], [0.750, 0.250, 0.500], [0.000, 0.000, 0.000], [0.250, 0.750, 0.500]]
}

***

{
  "formula": "SbN",
  "functional": "PBE",
  "state": "optimized geometry",
  "space_group": "P6_3mc, No. 186",
  "polymorph_energy_kj_per_mol_fu": 80,
  "magnetic_moment_mub_per_atom": 0.00,
  "e_form_raw_ev_per_atom": 0.76,
  "lattice": [[4.063, 0.000, 0.000], [-2.031, 3.519, 0.000], [0.000, 0.000, 5.310]],
  "species": ["N", "Sb", "Sb", "N"],
  "fractional_positions": [[0.667, 0.333, 0.837], [0.333, 0.667, 0.745], [0.667, 0.333, 0.245], [0.333, 0.667, 0.337]]
}

***

{
  "formula": "Lu2BiIr",
  "functional": "PBE",
  "state": "optimized geometry",
  "space_group": "R-3m, No. 166",
  "polymorph_energy_kj_per_mol_fu": 40,
  "formation_enthalpy_0k_mev_per_atom": -633,
  "magnetic_moment_mub_per_atom": 0.00,
  "lattice": [[3.884, 0.000, 0.000], [1.942, 3.364, 0.000], [1.942, 1.121, 8.058]],
  "species": ["Lu", "Ir", "Bi", "Lu"],
  "fractional_positions": [[0.730, 0.730, 0.809], [0.000, 0.000, 0.000], [0.500, 0.500, 0.500], [0.270, 0.270, 0.191]]
}

***

{
  "formula": "BaPm4PrSe8",
  "functional": "PBE",
  "state": "optimized geometry",
  "space_group": "R3m, No. 160",
  "magnetic_moment_mub_per_atom": 0.00,
  "e_form_raw_ev_per_atom": -1.79,
  "lattice": [[-2.187, 3.469, 7.789], [-8.026, -1.387, 3.338], [-0.991, -5.261, 7.039]],
  "species": ["Se", "Pm", "Pm", "Se", "Se", "Pm", "Ba", "Se", "Se", "Se", "Se", "Se", "Pm", "Pr"],
  "fractional_positions": [[0.229, 0.755, 0.260], [0.001, 0.001, 0.502], [0.001, 0.496, 0.502], [0.237, 0.797, 0.730], [0.234, 0.234, 0.299], [0.496, 0.001, 0.502], [0.374, 0.374, 0.878], [0.755, 0.755, 0.260], [0.757, 0.757, 0.728], [0.755, 0.229, 0.260], [0.797, 0.237, 0.730], [0.237, 0.237, 0.730], [0.625, 0.625, 0.124], [0.002, 0.002, 0.995]]
}